Record 1
# SmCo2GeH | Alexandria via LeMat-Bulk | PBE | relaxed
data_SmCo2GeH
_symmetry_space_group_name_H-M 'C m c m'
_symmetry_Int_Tables_number 63
_symmetry_space_group_name_Hall '-C 2c 2'
_cell_length_a 3.772
_cell_length_b 10.399
_cell_length_c 6.872
_cell_angle_alpha 90.00
_cell_angle_beta 90.00
_cell_angle_gamma 90.00
loop_
_atom_site_label
_atom_site_type_symbol
_atom_site_fract_x
_atom_site_fract_y
_atom_site_fract_z
Sm1 Sm 0.000 0.060 0.250
Co1 Co 0.000 0.340 0.057
Ge1 Ge 0.000 0.221 0.750
H1 H 0.000 0.500 0.000
# Total magnetic moment ... 1.68 Bohr magnetons per cell
# Total DFT energy (no corrections) ... -5.80 eV/atom


Record 2
# RbBe2In | Alexandria via LeMat-Bulk | PBE | relaxed
data_RbBe2In
_symmetry_space_group_name_H-M 'I 41/a m d'
_symmetry_Int_Tables_number 141
_cell_length_a 5.383
_cell_length_b 5.383
_cell_length_c 15.951
_cell_angle_alpha 90.00
_cell_angle_beta 90.00
_cell_angle_gamma 90.00
loop_
_symmetry_equiv_pos_as_xyz
'x,y,z'
'-x,-y,-z'
'-y+1/4,x+3/4,z+1/4'
'y+1/4,-x+3/4,-z+1/4'
'-x+1/2,-y,z+1/2'
'x+1/2,y,-z+1/2'
'y+1/4,-x+1/4,z+3/4'
'-y+1/4,x+1/4,-z+3/4'
'x,-y,-z'
'-x,y,z'
'-y+1/4,-x+1/4,-z+3/4'
'y+1/4,x+1/4,z+3/4'
'-x+1/2,y,-z+1/2'
'x+1/2,-y,z+1/2'
'y+1/4,x+3/4,-z+1/4'
'-y+1/4,-x+3/4,z+1/4'
'x+1/2,y+1/2,z+1/2'
'-x+1/2,-y+1/2,-z+1/2'
'-y+3/4,x+1/4,z+3/4'
'y+3/4,-x+1/4,-z+3/4'
'-x,-y+1/2,z'
'x,y+1/2,-z'
'y+3/4,-x+3/4,z+1/4'
'-y+3/4,x+3/4,-z+1/4'
'x+1/2,-y+1/2,-z+1/2'
'-x+1/2,y+1/2,z+1/2'
'-y+3/4,-x+3/4,-z+1/4'
'y+3/4,x+3/4,z+1/4'
'-x,y+1/2,-z'
'x,-y+1/2,z'
'y+3/4,x+1/4,-z+3/4'
'-y+3/4,-x+1/4,z+3/4'
loop_
_atom_site_label
_atom_site_type_symbol
_atom_site_fract_x
_atom_site_fract_y
_atom_site_fract_z
Rb1 Rb 0.000 0.250 0.375
Be1 Be 0.000 0.000 0.000
In1 In 0.000 0.250 0.875
# Total magnetic moment ... 0.00 Bohr magnetons per cell
# Total DFT energy (no corrections) ... -2.09 eV/atom


Record 3
# In2TcPt | Alexandria via LeMat-Bulk | PBE | relaxed
data_In2TcPt
_symmetry_space_group_name_H-M 'I -4 m 2'
_symmetry_Int_Tables_number 119
_symmetry_space_group_name_Hall 'I -4 -2'
_cell_length_a 3.998
_cell_length_b 3.998
_cell_length_c 9.124
_cell_angle_alpha 90.00
_cell_angle_beta 90.00
_cell_angle_gamma 90.00
loop_
_atom_site_label
_atom_site_type_symbol
_atom_site_fract_x
_atom_site_fract_y
_atom_site_fract_z
In1 In 0.000 0.000 0.000
In2 In 0.000 0.500 0.250
Tc1 Tc 0.000 0.000 0.500
Pt1 Pt 0.000 0.500 0.750
# Total magnetic moment ... 3.41 Bohr magnetons per cell
# Total DFT energy (no corrections) ... -5.36 eV/atom


Record 4
# Ba2TbPaP4 | Alexandria via LeMat-Bulk | PBE | relaxed
data_Ba2TbPaP4
_symmetry_space_group_name_H-M 'P 1 2/m 1'
_symmetry_Int_Tables_number 10
_cell_length_a 7.275
_cell_length_b 4.257
_cell_length_c 7.701
_cell_angle_alpha 90.00
_cell_angle_beta 108.54
_cell_angle_gamma 90.00
loop_
_symmetry_equiv_pos_as_xyz
'x,y,z'
'-x,-y,-z'
'-x,y,-z'
'x,-y,z'
loop_
_atom_site_label
_atom_site_type_symbol
_atom_site_fract_x
_atom_site_fract_y
_atom_site_fract_z
Ba1 Ba 0.000 0.000 0.000
Ba2 Ba 0.500 0.500 0.000
Tb1 Tb 0.000 0.500 0.500
Pa1 Pa 0.500 0.000 0.500
P1 P 0.247 0.000 0.703
P2 P 0.276 0.500 0.300
# Total magnetic moment ... 0.00 Bohr magnetons per cell
# Total DFT energy (no corrections) ... -6.19 eV/atom